# Ac2PO

A geometry-optimized Ac2PO structure (PBE, Alexandria via LeMat-Bulk).

Summary:
Formation energy without anion corrections   -7.9 eV/f.u.
Space group   R-3m (166)
Energy above the most stable polymorph in this dataset   0 meV/atom
N(E_F)   0.38 states/eV per atom
Total energy   -26.53 eV per cell

a = 7.0519 Å, b = 7.0519 Å, c = 7.0519 Å
α = 34.25°, β = 34.25°, γ = 34.25°
Sites, in units of the cell vectors:
Ac (0.2417, 0.2417, 0.2417)
Ac (0.7583, 0.7583, 0.7583)
P (0.0000, 0.0000, 0.0000)
O (0.5000, 0.5000, 0.5000)